1.
# NbHg3W (PBEsol, relaxed)
# **DFT formation energy**: 1001 kJ/mol of formula units
# **Spin magnetization**: 3.09 Bohr magnetons per cell
data_NbHg3W
_chemical_formula_sum 'Nb1 Hg3 W1'
_cell_length_a 5.2142
_cell_length_b 5.2142
_cell_length_c 5.2142
_cell_angle_alpha 90.00
_cell_angle_beta 90.00
_cell_angle_gamma 90.00
_space_group_name_H-M_alt 'P m -3 m'
_space_group_IT_number 221
_space_group_name_Hall '-P 4 2 3'
loop_
_atom_site_label
_atom_site_fract_x
_atom_site_fract_y
_atom_site_fract_z
Nb1 0.0000 0.0000 0.0000
Hg1 0.0000 0.0000 0.5000
W1 0.5000 0.5000 0.5000

=====

2.
# NdHg2 (PBEsol, relaxed)
# **DFT formation energy**: -159 kJ/mol of formula units
# **Spin magnetization**: 0.00 Bohr magnetons per cell
data_NdHg2
_chemical_formula_sum 'Nd1 Hg2'
_cell_length_a 4.9365
_cell_length_b 4.9365
_cell_length_c 3.4422
_cell_angle_alpha 90.00
_cell_angle_beta 90.00
_cell_angle_gamma 120.00
_space_group_name_H-M_alt 'P 6/m m m'
_space_group_IT_number 191
_space_group_name_Hall '-P 6 2'
loop_
_atom_site_label
_atom_site_fract_x
_atom_site_fract_y
_atom_site_fract_z
Nd1 0.0000 0.0000 0.0000
Hg1 0.3333 0.6667 0.5000

=====

3.
# NdHg (PBEsol, relaxed)
# **DFT formation energy**: -105 kJ/mol of formula units
# **Spin magnetization**: 0.39 Bohr magnetons per cell
data_NdHg
_chemical_formula_sum 'Nd1 Hg1'
_cell_length_a 3.7625
_cell_length_b 3.7625
_cell_length_c 3.7625
_cell_angle_alpha 90.00
_cell_angle_beta 90.00
_cell_angle_gamma 90.00
_space_group_name_H-M_alt 'P m -3 m'
_space_group_IT_number 221
_space_group_name_Hall '-P 4 2 3'
loop_
_atom_site_label
_atom_site_fract_x
_atom_site_fract_y
_atom_site_fract_z
Nd1 0.0000 0.0000 0.0000
Hg1 0.5000 0.5000 0.5000

=====

4.
# Nd2HgO4 (PBEsol, relaxed)
# **Spin magnetization**: 0.00 Bohr magnetons per cell
# **DFT total energy**: -7.1207 eV per atom
data_Nd2HgO4
_chemical_formula_sum 'Nd8 Hg4 O16'
_cell_length_a 13.8095
_cell_length_b 3.7900
_cell_length_c 10.2341
_cell_angle_alpha 90.00
_cell_angle_beta 121.35
_cell_angle_gamma 90.00
_space_group_name_H-M_alt 'C 1 2/m 1'
_space_group_IT_number 12
loop_
_space_group_symop_operation_xyz
'x,y,z'
'-x,-y,-z'
'-x,y,-z'
'x,-y,z'
'x+1/2,y+1/2,z'
'-x+1/2,-y+1/2,-z'
'-x+1/2,y+1/2,-z'
'x+1/2,-y+1/2,z'
loop_
_atom_site_label
_atom_site_fract_x
_atom_site_fract_y
_atom_site_fract_z
Nd1 0.1195 0.0000 0.4588
Nd2 0.1604 0.5000 0.7995
Hg1 0.1148 0.5000 0.1622
O1 0.0359 0.5000 0.2792
O2 0.0808 0.0000 0.6535
O3 0.2029 0.5000 0.0572
O4 0.2304 0.5000 0.6128

=====

5.
# Nd2HgPb (PBEsol, relaxed)
# **DFT formation energy**: -221 kJ/mol of formula units
# **Spin magnetization**: 0.00 Bohr magnetons per cell
data_Nd2HgPb
_chemical_formula_sum 'Nd8 Hg4 Pb4'
_cell_length_a 7.6199
_cell_length_b 7.6199
_cell_length_c 7.6199
_cell_angle_alpha 90.00
_cell_angle_beta 90.00
_cell_angle_gamma 90.00
_space_group_name_H-M_alt 'F m -3 m'
_space_group_IT_number 225
_space_group_name_Hall '-F 4 2 3'
loop_
_atom_site_label
_atom_site_fract_x
_atom_site_fract_y
_atom_site_fract_z
Nd1 0.2500 0.2500 0.2500
Hg1 0.0000 0.0000 0.0000
Pb1 0.0000 0.0000 0.5000

=====

6.
# Nd2SnHg (PBEsol, relaxed)
# **DFT formation energy**: -257 kJ/mol of formula units
# **Spin magnetization**: 0.00 Bohr magnetons per cell
data_Nd2SnHg
_chemical_formula_sum 'Nd8 Sn4 Hg4'
_cell_length_a 7.5680
_cell_length_b 7.5680
_cell_length_c 7.5680
_cell_angle_alpha 90.00
_cell_angle_beta 90.00
_cell_angle_gamma 90.00
_space_group_name_H-M_alt 'F m -3 m'
_space_group_IT_number 225
_space_group_name_Hall '-F 4 2 3'
loop_
_atom_site_label
_atom_site_fract_x
_atom_site_fract_y
_atom_site_fract_z
Nd1 0.2500 0.2500 0.2500
Sn1 0.0000 0.0000 0.0000
Hg1 0.0000 0.0000 0.5000